# 1
Material: ZnNi2Ru
Method: DFT, GGA-PBEsol
State: relaxed

Unit cell a=2.544 b=3.615 c=5.117 alpha=90.00 beta=90.00 gamma=90.00
Fractional positions:
1 Zn 0.000 0.000 0.000
2 Ni 0.500 0.500 0.255
3 Ni 0.500 0.500 0.745
4 Ru 0.000 0.000 0.500

Values from the calculation:
Density: 10.02 g/cm3
Formation energy from the elements: -14 meV/atom
Crystal system: orthorhombic



# 2
Material: ZnNi2Ru
Method: DFT, GGA-PBEsol
State: relaxed

Unit cell a=4.435 b=4.435 c=2.532 alpha=90.00 beta=90.00 gamma=109.47
Fractional positions:
1 Zn 0.000 0.000 0.000
2 Ni 0.000 0.500 0.500
3 Ni 0.500 0.000 0.500
4 Ru 0.500 0.500 0.000

Values from the calculation:
Density: 10.04 g/cm3
Formation energy from the elements: -24 meV/atom
Crystal system: orthorhombic



Question: Among the records above, which one has the lowest density?
Answer: number 1



Question: Number 2 is which compound?
Answer: ZnNi2Ru